Entry from Alexandria: NdEr14Sc after structural relaxation (PBE).

Lattice parameters (Å, degrees): 11.316 7.036 12.203 90.00 90.00 90.00
Space group Amm2 (No. 38)
Symmetry-distinct sites (fractional):
Nd 0.000 0.000 0.000
Er 0.000 0.249 0.751
Er 0.247 0.000 0.335
Er 0.249 0.248 0.584
Er 0.253 0.000 0.834
Er 0.500 0.000 0.167
Er 0.500 0.000 0.667
Er 0.500 0.249 0.418
Sc 0.000 0.000 0.501

Calculated values
**Formation enthalpy at 0 K**: 0.013 eV/atom
**VASP energy**: -4.67 eV per atom
**Magnetization**: 0.000 μB/atom